No. 1
VASP calculation (PBE) on a relaxed Pa3B8Rh3 crystal.

```
Pa3B8Rh3
1.0
-1.630 4.720 5.439
1.630 -4.720 5.439
1.630 4.720 -5.439
Pa B Rh
3 8 3
direct
0.000 0.000 0.000
0.297 0.297 0.000
0.703 0.703 0.000
0.006 0.684 0.322
0.100 0.849 0.251
0.362 0.684 0.678
0.402 0.151 0.251
0.598 0.849 0.749
0.638 0.316 0.322
0.900 0.151 0.749
0.994 0.316 0.678
0.269 0.500 0.769
0.500 0.000 0.500
0.731 0.500 0.231
```

Properties
Its space-group type is No. 71. The value obtained for the formation energy is -0.308 eV/atom.

***

No. 2
VASP calculation (PBE) on a relaxed La4NdTm2Sc crystal.

```
La4NdTm2Sc
1.0
5.895 0.000 0.000
0.000 5.896 0.000
0.000 0.000 7.725
La Nd Tm Sc
4 1 2 1
direct
0.000 0.000 0.249
0.000 0.000 0.751
0.500 0.500 0.250
0.500 0.500 0.750
0.000 0.500 0.000
0.000 0.500 0.500
0.500 0.000 0.500
0.500 0.000 0.000
```

Properties
Its space-group type is No. 47. The value obtained for the formation energy is 0.085 eV/atom.